Record 1
This record from the Alexandria database describes a relaxed structure of BIrW3. The functional is PBE-GGA.

abc: 4.1634 4.1634 4.1634
angles: 90.00 90.00 90.00
Last column: nearest neighbours and their distance in Å.
Element x y z (fractional)
B  0.0000  0.0000  0.0000  6 W 2.08
Ir  0.5000  0.5000  0.5000  12 W 2.94
W  0.0000  0.0000  0.5000  2 B 2.08
W  0.0000  0.5000  0.0000  2 B 2.08
W  0.5000  0.0000  0.0000  2 B 2.08

space group = Pm-3m (221)
offset from the most stable computed form = 0.00 eV/f.u.
volume = 14.43 A^3/atom
VASP energy = -10.74 eV per atom
ΔH_f (0 K) = 0.139 eV/atom

---

Record 2
This record from the Alexandria database describes a relaxed structure of B2IrW2. The functional is PBE-GGA.

abc: 5.5586 5.5586 3.7295
angles: 90.00 90.00 90.00
Last column: nearest neighbours and their distance in Å.
Element x y z (fractional)
B  0.1154  0.3846  0.0000  1 B 1.82
B  0.3846  0.8846  0.0000  1 B 1.82
B  0.6154  0.1154  0.0000  1 B 1.82
B  0.8846  0.6154  0.0000  1 B 1.82
Ir  0.0000  0.0000  0.0000  4 B 2.23
Ir  0.5000  0.5000  0.0000  4 B 2.23
W  0.1694  0.6694  0.5000  6 B 2.46-2.52, 1 W 2.66
W  0.3306  0.1694  0.5000  6 B 2.46-2.52, 1 W 2.66
W  0.6694  0.8306  0.5000  6 B 2.46-2.52, 1 W 2.66
W  0.8306  0.3306  0.5000  6 B 2.46-2.52, 1 W 2.66

space group = P4/mbm (127)
offset from the most stable computed form = 0.03 eV/f.u.
volume = 11.52 A^3/atom
VASP energy = -9.93 eV per atom
ΔH_f (0 K) = -0.304 eV/atom

---

Record 3
This record from the Alexandria database describes a relaxed structure of B2IrW2. The functional is PBE-GGA.

abc: 5.8873 5.8873 6.6188
angles: 90.00 90.00 90.00
Last column: nearest neighbours and their distance in Å.
Element x y z (fractional)
B  0.1095  0.3905  0.2500  1 B 1.82
B  0.1095  0.3905  0.7500  1 B 1.82
B  0.3905  0.8905  0.2500  1 B 1.82
B  0.3905  0.8905  0.7500  1 B 1.82
B  0.6095  0.1095  0.2500  1 B 1.82
B  0.6095  0.1095  0.7500  1 B 1.82
B  0.8905  0.6095  0.2500  1 B 1.82
B  0.8905  0.6095  0.7500  1 B 1.82
Ir  0.0000  0.0000  0.2130  4 B 2.40
Ir  0.0000  0.0000  0.7870  4 B 2.40
Ir  0.5000  0.5000  0.2870  4 B 2.40
Ir  0.5000  0.5000  0.7130  4 B 2.40
W  0.1516  0.6915  0.5000  6 B 2.31-2.47
W  0.1915  0.6516  0.0000  6 B 2.31-2.47
W  0.3085  0.1516  0.5000  6 B 2.31-2.47
W  0.3484  0.1915  0.0000  6 B 2.31-2.47
W  0.6516  0.8085  0.0000  6 B 2.31-2.47
W  0.6915  0.8484  0.5000  6 B 2.31-2.47
W  0.8085  0.3484  0.0000  6 B 2.31-2.47
W  0.8484  0.3085  0.5000  6 B 2.31-2.47

space group = P4/mnc (128)
offset from the most stable computed form = 0.27 eV/f.u.
volume = 11.47 A^3/atom
VASP energy = -9.88 eV per atom
ΔH_f (0 K) = -0.257 eV/atom

---

Record 4
This record from the Alexandria database describes a relaxed structure of B2IrW2. The functional is PBE-GGA.

abc: 4.7014 4.7014 4.7014
angles: 139.32 119.22 75.73
Last column: nearest neighbours and their distance in Å.
Element x y z (fractional)
B  0.1877  0.0000  0.1877  1 B 1.79
B  0.8123  0.0000  0.8123  1 B 1.79
Ir  0.5000  0.5000  0.0000  4 B 2.21
W  0.1947  0.6947  0.5000  4 B 2.36
W  0.8053  0.3053  0.5000  4 B 2.36

space group = Immm (71)
offset from the most stable computed form = 0.00 eV/f.u.
volume = 11.54 A^3/atom
VASP energy = -9.93 eV per atom
ΔH_f (0 K) = -0.310 eV/atom

---

Record 5
This record from the Alexandria database describes a relaxed structure of BIrW3. The functional is PBE-GGA.

abc: 4.7406 4.7406 4.7406
angles: 90.00 90.00 90.00
Last column: nearest neighbours and their distance in Å.
Element x y z (fractional)
B  0.0000  0.0000  0.0000  12 W 3.35
Ir  0.5000  0.5000  0.5000  6 W 2.37
W  0.0000  0.5000  0.5000  2 Ir 2.37
W  0.5000  0.0000  0.5000  2 Ir 2.37
W  0.5000  0.5000  0.0000  2 Ir 2.37

space group = Pm-3m (221)
offset from the most stable computed form = 13.36 eV/f.u.
volume = 21.31 A^3/atom
VASP energy = -8.07 eV per atom
ΔH_f (0 K) = 2.811 eV/atom

---

Record 6
This record from the Alexandria database describes a relaxed structure of BIr2W. The functional is PBE-GGA.

abc: 8.2859 8.2859 8.2859
angles: 19.52 19.52 19.52
Last column: nearest neighbours and their distance in Å.
Element x y z (fractional)
B  0.0000  0.0000  0.0000  6 Ir 2.18
Ir  0.3930  0.3930  0.3930  3 B 2.18
Ir  0.6070  0.6070  0.6070  3 B 2.18
W  0.5000  0.5000  0.5000  2 Ir 2.61, 6 W 2.81

space group = R-3m (166)
volume = 13.89 A^3/atom
VASP energy = -9.00 eV per atom
ΔH_f (0 K) = 0.334 eV/atom

---

Record 7
This record from the Alexandria database describes a relaxed structure of B3IrW. The functional is PBE-GGA.

abc: 4.0196 4.0196 4.0196
angles: 90.00 90.00 90.00
Last column: nearest neighbours and their distance in Å.
Element x y z (fractional)
B  0.0000  0.0000  0.5000  2 Ir 2.01
B  0.0000  0.5000  0.0000  2 Ir 2.01
B  0.5000  0.0000  0.0000  2 Ir 2.01
Ir  0.0000  0.0000  0.0000  6 B 2.01
W  0.5000  0.5000  0.5000  12 B 2.84

space group = Pm-3m (221)
offset from the most stable computed form = 0.00 eV/f.u.
volume = 12.99 A^3/atom
VASP energy = -6.77 eV per atom
ΔH_f (0 K) = 1.603 eV/atom

---

Record 8
This record from the Alexandria database describes a relaxed structure of Zn2B2Ir5W. The functional is PBE-GGA.

abc: 9.7122 9.7122 2.8690
angles: 90.00 90.00 90.00
Last column: nearest neighbours and their distance in Å.
Element x y z (fractional)
Zn  0.1787  0.3213  0.0000  3 B 2.75-2.96, 10 Ir 2.81-3.02, 2 Zn 2.87
Zn  0.3213  0.8213  0.0000  3 B 2.75-2.96, 10 Ir 2.81-3.02, 2 Zn 2.87
Zn  0.6787  0.1787  0.0000  3 B 2.75-2.96, 10 Ir 2.81-3.02, 2 Zn 2.87
Zn  0.8213  0.6787  0.0000  3 B 2.75-2.96, 10 Ir 2.81-3.02, 2 Zn 2.87
B  0.1210  0.6210  0.0000  6 Ir 2.16-2.20
B  0.3790  0.1210  0.0000  6 Ir 2.16-2.20
B  0.6210  0.8790  0.0000  6 Ir 2.16-2.20
B  0.8790  0.3790  0.0000  6 Ir 2.16-2.20
Ir  0.0000  0.5000  0.5000  4 B 2.20
Ir  0.0754  0.7804  0.5000  2 B 2.16
Ir  0.2196  0.0754  0.5000  2 B 2.16
Ir  0.2804  0.5754  0.5000  2 B 2.16
Ir  0.4246  0.2804  0.5000  2 B 2.16
Ir  0.5000  0.0000  0.5000  4 B 2.20
Ir  0.5754  0.7196  0.5000  2 B 2.16
Ir  0.7196  0.4246  0.5000  2 B 2.16
Ir  0.7804  0.9246  0.5000  2 B 2.16
Ir  0.9246  0.2196  0.5000  2 B 2.16
W  0.0000  0.0000  0.0000  8 Ir 2.67, 2 W 2.87
W  0.5000  0.5000  0.0000  8 Ir 2.67, 2 W 2.87

space group = P4/mbm (127)
volume = 13.53 A^3/atom
VASP energy = -7.45 eV per atom
ΔH_f (0 K) = -0.134 eV/atom